Below is Sc2Ag2Sn after structural relaxation, with properties calculated at the PBE level.

Calculated values
E above lowest polymorph: 0 meV per atom
Spin magnetization: 0.12 μB/cell
Space group: I4/mmm, No. 139

Cell: 6.5731 6.5731 6.5731 Å, 140.13 140.13 57.66°
Fractional coordinates of all 5 atoms:
Ag 0.3888 0.3888 0.0000
Ag 0.6112 0.6112 0.0000
Sc 0.7500 0.2500 0.5000
Sc 0.2500 0.7500 0.5000
Sn 0.0000 0.0000 0.0000